A plane-wave DFT calculation with PBE was carried out for a geometry-optimized Mg14TiB structure.

Energy of formation = 0.195 eV/atom
M_tot = 0.000 μB/f.u.
ΔE to the lowest computed polymorph = 0.00 eV per formula unit

Cell and atoms, written as POSCAR:
```
Mg14TiB
1.0
10.010 0.000 0.000
0.000 2.995 5.606
0.000 -2.995 5.606
Mg Ti B
14 1 1
Cartesian
0.000 0.000 0.000
0.000 -1.521 8.342
0.000 0.000 5.520
0.000 1.521 8.342
2.516 0.000 7.325
2.575 -1.472 4.542
2.575 1.472 4.542
3.214 0.000 1.377
5.005 -1.600 3.062
5.005 1.600 3.062
6.796 0.000 1.377
7.435 -1.472 4.542
7.435 1.472 4.542
7.493 0.000 7.325
5.005 0.000 5.746
5.005 0.000 10.759
```

A plane-wave DFT calculation with PBE was carried out for a geometry-optimized MgTiB3 structure.

Energy of formation = 1.193 eV/atom
M_tot = 0.000 μB/f.u.
ΔE to the lowest computed polymorph = 0.00 eV per formula unit

Cell and atoms, written as POSCAR:
```
MgTiB3
1.0
4.138 0.000 0.000
0.000 4.138 0.000
0.000 0.000 4.138
Mg Ti B
1 1 3
Cartesian
0.000 0.000 0.000
2.069 2.069 2.069
0.000 2.069 2.069
2.069 0.000 2.069
2.069 2.069 0.000
```

A plane-wave DFT calculation with PBE was carried out for a geometry-optimized MgTi3B structure.

Energy of formation = -0.097 eV/atom
M_tot = 0.000 μB/f.u.
ΔE to the lowest computed polymorph = 0.00 eV per formula unit

Cell and atoms, written as POSCAR:
```
MgTi3B
1.0
4.366 0.000 0.000
0.000 4.366 0.000
0.000 0.000 4.366
Mg Ti B
1 3 1
Cartesian
0.000 0.000 0.000
0.000 2.183 2.183
2.183 0.000 2.183
2.183 2.183 0.000
2.183 2.183 2.183
```

A plane-wave DFT calculation with PBE was carried out for a geometry-optimized Mg3TiB structure.

Energy of formation = 0.556 eV/atom
M_tot = 0.000 μB/f.u.
ΔE to the lowest computed polymorph = 0.00 eV per formula unit

Cell and atoms, written as POSCAR:
```
Mg3TiB
1.0
4.529 0.000 0.000
0.000 4.529 0.000
0.000 0.000 4.529
Mg Ti B
3 1 1
Cartesian
0.000 0.000 2.265
0.000 2.265 0.000
2.265 0.000 0.000
2.265 2.265 2.265
0.000 0.000 0.000
```

A plane-wave DFT calculation with PBE was carried out for a geometry-optimized MgTi3B structure.

Energy of formation = 1.970 eV/atom
M_tot = 0.000 μB/f.u.
ΔE to the lowest computed polymorph = 10.34 eV per formula unit

Cell and atoms, written as POSCAR:
```
MgTi3B
1.0
4.625 0.000 0.000
0.000 4.625 0.000
0.000 0.000 4.625
Mg Ti B
1 3 1
Cartesian
0.000 0.000 0.000
0.000 0.000 2.313
0.000 2.313 0.000
2.313 0.000 0.000
2.313 2.313 2.313
```

A plane-wave DFT calculation with PBE was carried out for a geometry-optimized Mg3TiB structure.

Energy of formation = 1.868 eV/atom
M_tot = 3.604 μB/f.u.
ΔE to the lowest computed polymorph = 6.56 eV per formula unit

Cell and atoms, written as POSCAR:
```
Mg3TiB
1.0
5.371 0.000 0.000
0.000 5.371 0.000
0.000 0.000 5.371
Mg Ti B
3 1 1
Cartesian
0.000 0.000 2.686
0.000 2.686 0.000
2.686 0.000 0.000
0.000 0.000 0.000
2.686 2.686 2.686
```

A plane-wave DFT calculation with PBE was carried out for a geometry-optimized Mg14TiB structure.

Energy of formation = 0.211 eV/atom
M_tot = 1.023 μB/f.u.
ΔE to the lowest computed polymorph = 0.24 eV per formula unit

Cell and atoms, written as POSCAR:
```
Mg14TiB
1.0
6.278 0.000 0.000
-3.139 5.437 0.000
0.000 0.000 9.763
Mg Ti B
14 1 1
Cartesian
0.000 0.000 2.374
0.000 0.000 7.389
-1.474 2.774 2.568
-1.474 2.774 7.194
1.532 0.885 4.881
1.615 0.933 0.000
1.474 2.774 2.568
1.474 2.774 7.194
0.000 5.326 2.568
0.000 5.326 7.194
4.663 0.933 0.000
3.139 3.572 0.000
4.746 0.885 4.881
3.139 3.668 4.881
0.000 3.625 0.000
0.000 3.625 4.881
```

A plane-wave DFT calculation with PBE was carried out for a geometry-optimized MgTiBW2 structure.

Energy of formation = 0.200 eV/atom
M_tot = 0.000 μB/f.u.

Cell and atoms, written as POSCAR:
```
MgTiBW2
1.0
4.232 0.000 0.000
0.000 4.232 0.000
0.000 0.000 4.369
Mg Ti B W
1 1 1 2
Cartesian
0.000 0.000 0.000
2.116 2.116 0.000
2.116 2.116 2.184
0.000 2.116 2.184
2.116 0.000 2.184
```

A plane-wave DFT calculation with PBE was carried out for a geometry-optimized MgTl3B structure.

Energy of formation = 0.633 eV/atom
M_tot = 0.000 μB/f.u.
ΔE to the lowest computed polymorph = 0.00 eV per formula unit

Cell and atoms, written as POSCAR:
```
MgTl3B
1.0
5.031 0.000 0.000
0.000 5.031 0.000
0.000 0.000 5.031
Mg Tl B
1 3 1
Cartesian
0.000 0.000 0.000
0.000 2.516 2.516
2.516 0.000 2.516
2.516 2.516 0.000
2.516 2.516 2.516
```

A plane-wave DFT calculation with PBE was carried out for a geometry-optimized MgTlB structure.

Energy of formation = 0.324 eV/atom
M_tot = 0.000 μB/f.u.

Cell and atoms, written as POSCAR:
```
MgTlB
1.0
3.893 0.000 0.000
1.946 3.372 0.000
0.026 -0.006 9.341
Mg Tl B
2 2 2
Cartesian
0.000 0.000 0.000
1.944 1.124 2.009
1.969 1.120 7.015
3.900 2.250 4.320
3.892 2.248 0.883
3.918 2.242 8.637
```

A plane-wave DFT calculation with PBE was carried out for a geometry-optimized MgTl3B structure.

Energy of formation = 1.222 eV/atom
M_tot = 0.000 μB/f.u.
ΔE to the lowest computed polymorph = 2.94 eV per formula unit

Cell and atoms, written as POSCAR:
```
MgTl3B
1.0
5.487 0.000 0.000
0.000 5.487 0.000
0.000 0.000 5.487
Mg Tl B
1 3 1
Cartesian
0.000 0.000 0.000
0.000 0.000 2.744
0.000 2.744 0.000
2.744 0.000 0.000
2.744 2.744 2.744
```

A plane-wave DFT calculation with PBE was carried out for a geometry-optimized MgTlB structure.

Energy of formation = 0.217 eV/atom
M_tot = 0.000 μB/f.u.

Cell and atoms, written as POSCAR:
```
MgTlB
1.0
3.179 0.000 0.000
1.572 5.922 0.000
1.578 -0.054 6.341
Mg Tl B
2 2 2
Cartesian
0.000 0.000 0.000
3.159 5.066 2.587
1.584 2.662 0.893
3.163 1.655 3.957
3.158 4.146 4.740
4.747 4.388 4.692
```